# PmGaPdPt, relaxed, DFT PBE-GGA
data_PmGaPdPt
_space_group_name_H-M_alt 'C 1 m 1'
_space_group_IT_number 8
_cell_length_a 7.6565
_cell_length_b 4.4278
_cell_length_c 5.3875
_cell_angle_alpha 90.00
_cell_angle_beta 118.14
_cell_angle_gamma 90.00
loop_
_space_group_symop_operation_xyz
'x,y,z'
'x,-y,z'
'x+1/2,y+1/2,z'
'x+1/2,-y+1/2,z'
loop_
_atom_site_label
_atom_site_type_symbol
_atom_site_fract_x
_atom_site_fract_y
_atom_site_fract_z
Pm1 Pm 0.0000 0.0000 0.0000
Ga1 Ga 0.0078 0.5000 0.5228
Pd1 Pd 0.2875 0.5000 0.3622
Pt1 Pt 0.2129 0.0000 0.6382
# * mass density: 10.65 Mg/m³
# * magnetization: 0.00 μB per atom



# PmGa2PdPt5, relaxed, DFT PBE-GGA
data_PmGa2PdPt5
_space_group_name_H-M_alt 'P 4/m m m'
_space_group_IT_number 123
_space_group_name_Hall '-P 4 2'
_cell_length_a 4.0478
_cell_length_b 4.0478
_cell_length_c 9.8069
_cell_angle_alpha 90.00
_cell_angle_beta 90.00
_cell_angle_gamma 90.00
loop_
_atom_site_label
_atom_site_type_symbol
_atom_site_fract_x
_atom_site_fract_y
_atom_site_fract_z
Pm1 Pm 0.0000 0.0000 0.0000
Ga1 Ga 0.5000 0.5000 0.3766
Pd1 Pd 0.0000 0.0000 0.5000
Pt1 Pt 0.0000 0.5000 0.2273
Pt2 Pt 0.5000 0.5000 0.0000
# * mass density: 14.12 Mg/m³
# * magnetization: 0.00 μB per atom



# PmGaPdPt, relaxed, DFT PBE-GGA
data_PmGaPdPt
_space_group_name_H-M_alt 'F -4 3 m'
_space_group_IT_number 216
_space_group_name_Hall 'F -4 2 3'
_cell_length_a 6.7503
_cell_length_b 6.7503
_cell_length_c 6.7503
_cell_angle_alpha 90.00
_cell_angle_beta 90.00
_cell_angle_gamma 90.00
loop_
_atom_site_label
_atom_site_type_symbol
_atom_site_fract_x
_atom_site_fract_y
_atom_site_fract_z
Pm1 Pm 0.0000 0.0000 0.0000
Ga1 Ga 0.0000 0.0000 0.5000
Pd1 Pd 0.2500 0.2500 0.7500
Pt1 Pt 0.2500 0.2500 0.2500
# * mass density: 11.15 Mg/m³
# * magnetization: 0.00 μB per atom



Number 1: raw total energy -5.66 eV/atom, E_form -909 meV/atom. Number 2: raw total energy -5.69 eV/atom, E_form -552 meV/atom. Number 3: raw total energy -5.52 eV/atom, E_form -765 meV/atom.